First-principles (SCAN) data for Co2Re5B4 at its PBEsol-relaxed geometry, as listed in Alexandria.

ΔH_f (0 K) = -0.181 eV per atom
N(E_F) = 6.34 states/eV/f.u.
M_tot = 1.63 μB per formula unit

```
22
Lattice="-3.174 -0.709 -4.240 -2.239 -4.240 2.361 -5.502 4.756 3.324" Properties=species:S:1:pos:R:3 pbc="T T T"
B -3.425 1.762 1.428
Re -4.575 0.031 -2.153
Re -2.553 -3.053 0.141
Co -4.338 2.024 -0.458
Co -4.557 -4.166 -1.583
B -7.490 -1.954 0.016
B -5.344 -0.525 1.523
Re -5.215 -2.011 -0.336
Re -2.860 -1.896 -2.021
Co -3.870 0.258 2.842
B -2.307 0.268 -1.686
Co -0.856 -0.782 -0.297
B -1.839 -1.498 1.615
Re -3.964 -2.277 2.161
Re -6.340 -0.223 3.597
Re -5.701 1.818 1.781
B -6.370 3.780 0.769
Re -3.298 -0.259 0.329
B -5.902 2.014 4.070
B -5.571 0.332 -0.079
Re -7.618 0.066 1.115
Re -6.952 2.085 -0.717
```

---

First-principles (SCAN) data for TaAlCu3 at its PBEsol-relaxed geometry, as listed in Alexandria.

ΔH_f (0 K) = 0.869 eV per atom
N(E_F) = 2.25 states/eV/f.u.
M_tot = 0.00 μB per formula unit

```
5
Lattice="-2.165 -0.380 -3.607 3.406 -1.658 -1.870 -1.247 -3.867 1.156" Properties=species:S:1:pos:R:3 pbc="T T T"
Cu -0.624 -1.934 0.578
Cu 1.703 -0.829 -0.935
Ta -0.003 -2.953 -2.160
Cu -1.083 -0.190 -1.804
Al 0.000 0.000 0.000
```

---

First-principles (SCAN) data for KNb4AsO13 at its PBEsol-relaxed geometry, as listed in Alexandria.

N(E_F) = 0.00 states/eV/f.u.
formation energy without anion corrections = -2.49 eV per atom
M_tot = 0.00 μB per formula unit

```
38
Lattice="-0.773 7.309 0.988 -2.781 0.537 -6.854 -9.316 -1.480 3.663" Properties=species:S:1:pos:R:3 pbc="T T T"
Nb -2.939 2.934 0.644
O -8.408 6.730 -1.552
O -8.546 -0.777 2.859
As -7.571 0.170 1.792
O -4.344 7.156 -5.068
O -7.365 5.097 0.557
O -5.926 -0.376 1.843
O -11.590 4.283 -2.832
Nb -11.730 0.214 -1.822
O -9.321 4.056 -1.116
O -10.772 1.777 -1.880
O -1.297 2.054 0.666
Nb -9.207 5.751 -0.183
O -4.651 4.184 0.681
O -1.893 0.045 -1.661
O -8.234 2.167 -2.835
O -5.167 4.571 -4.458
O -9.004 4.721 -3.879
O -5.528 1.225 -2.746
Nb -10.417 4.639 3.303
Nb -3.624 0.622 -2.034
K -6.803 2.632 -0.531
O -6.951 6.726 -4.029
O -4.504 -0.337 -0.656
As -5.307 6.195 -3.991
O -3.014 1.666 -3.739
O -4.649 6.319 -2.433
O -8.119 0.064 0.190
O -2.145 4.596 -0.347
O -7.601 1.812 2.215
O -3.539 2.313 -1.091
Nb -7.089 0.991 -3.682
O -10.996 6.286 -0.512
O -3.910 1.666 1.663
Nb -5.777 5.417 1.442
O -9.894 4.737 1.547
Nb -9.893 3.438 -2.861
K -2.562 4.292 -3.050
```

---

First-principles (SCAN) data for K2LaW at its PBEsol-relaxed geometry, as listed in Alexandria.

ΔH_f (0 K) = 1.456 eV per atom
N(E_F) = 4.96 states/eV/f.u.
M_tot = 0.04 μB per formula unit

```
4
Lattice="2.948 0.000 0.000 0.000 6.000 0.000 0.000 0.000 6.514" Properties=species:S:1:pos:R:3 pbc="T T T"
La 1.474 3.000 3.257
K 0.000 4.588 0.000
W 1.474 0.000 3.257
K 0.000 1.411 0.000
```

---

First-principles (SCAN) data for BaScS2N at its PBEsol-relaxed geometry, as listed in Alexandria.

N(E_F) = 0.93 states/eV/f.u.
formation energy without anion corrections = -1.41 eV per atom
M_tot = 2.00 μB per formula unit

```
5
Lattice="4.236 0.000 0.000 0.000 5.042 0.000 0.000 0.000 5.042" Properties=species:S:1:pos:R:3 pbc="T T T"
S 0.000 2.521 0.000
Ba 2.118 2.521 2.521
N 2.118 0.000 0.000
Sc 0.000 0.000 0.000
S 0.000 0.000 2.521
```

---

First-principles (SCAN) data for Mg17Al11In at its PBEsol-relaxed geometry, as listed in Alexandria.

ΔH_f (0 K) = -0.031 eV per atom
N(E_F) = 10.76 states/eV/f.u.
M_tot = 0.00 μB per formula unit

```
29
Lattice="9.092 -0.016 -0.008 -3.007 8.580 -0.008 -3.035 -4.272 7.450" Properties=species:S:1:pos:R:3 pbc="T T T"
Mg 3.340 4.701 2.117
Mg 4.500 -1.348 2.351
Al 0.269 5.075 6.060
Al 4.715 4.242 4.694
Mg 1.991 2.802 4.894
Al -1.358 -1.912 5.987
Al 4.704 1.924 6.060
Mg 4.120 1.705 2.994
Al 3.301 6.975 -0.004
Mg 0.255 4.452 2.994
Mg 0.255 0.359 5.326
Mg -1.535 2.936 5.084
Mg -1.028 -1.447 2.577
Mg 3.278 -0.483 5.084
Al 5.500 5.413 -0.004
Mg 6.305 0.120 4.478
Mg -2.889 4.276 7.414
Mg -1.961 5.993 4.478
Mg 3.037 4.275 7.422
Al -0.599 1.557 2.760
Al 6.318 0.785 1.375
Al 1.668 -0.053 2.760
Al -1.338 6.225 1.375
Al 2.454 5.848 4.694
Mg 1.524 -1.575 7.436
Mg -2.754 3.806 2.351
Mg -1.989 0.921 7.436
In 1.722 2.424 1.323
Mg 4.988 -1.321 7.414
```